Entry 1:
The following is a DFT calculation (PBE) of an optimized crystal structure of Cs3SbCl7.

Properties
Formation energy (no corrections) = -1457 meV per atom

Lattice parameters (Å, degrees): 7.422 10.503 10.503 90.00 90.00 90.00
Sites, in units of the cell vectors:
Cl: 0.248 0.882 0.618
Cl: 0.752 0.382 0.882
Cl: 0.248 0.118 0.382
Cl: 0.500 0.500 0.500
Cl: 0.000 0.829 0.329
Cl: 0.752 0.618 0.118
Cl: 0.248 0.382 0.882
Cl: 0.000 0.671 0.829
Cl: 0.000 0.329 0.171
Cl: 0.752 0.882 0.618
Cl: 0.248 0.618 0.118
Cl: 0.752 0.118 0.382
Cl: 0.500 0.000 0.000
Cl: 0.000 0.171 0.671
Cs: 0.500 0.322 0.178
Cs: 0.500 0.822 0.322
Cs: 0.000 0.000 0.000
Cs: 0.500 0.678 0.822
Cs: 0.500 0.178 0.678
Cs: 0.000 0.500 0.500
Sb: 0.000 0.500 0.000
Sb: 0.000 0.000 0.500

***

Entry 2:
The following is a DFT calculation (PBE) of an optimized crystal structure of Cs2SbCl7.

Properties
Formation energy (no corrections) = -1210 meV per atom

Lattice parameters (Å, degrees): 7.890 7.890 7.890 60.00 60.00 60.00
Sites, in units of the cell vectors:
Cl: 0.500 0.500 0.500
Cl: 0.779 0.221 0.221
Cl: 0.779 0.779 0.221
Cl: 0.221 0.779 0.779
Cl: 0.221 0.779 0.221
Cl: 0.221 0.221 0.779
Cl: 0.779 0.221 0.779
Cs: 0.750 0.750 0.750
Cs: 0.250 0.250 0.250
Sb: 0.000 0.000 0.000

***

Entry 3:
The following is a DFT calculation (PBE) of an optimized crystal structure of CsSbCl4.

Properties
Formation energy (no corrections) = -1286 meV per atom

Lattice parameters (Å, degrees): 5.428 7.879 10.515 90.00 104.96 90.00
Sites, in units of the cell vectors:
Cl: 0.410 0.250 0.820
Cl: 0.816 0.481 0.633
Cl: 0.590 0.750 0.180
Cl: 0.816 0.019 0.633
Cl: 0.184 0.519 0.367
Cl: 0.000 0.000 0.000
Cl: 0.184 0.981 0.367
Cl: 0.000 0.500 0.000
Cs: 0.388 0.750 0.777
Cs: 0.612 0.250 0.223
Sb: 0.899 0.250 0.799
Sb: 0.101 0.750 0.201

***

Entry 4:
The following is a DFT calculation (PBE) of an optimized crystal structure of Cs2SbCl4.

Properties
Energy above the most stable polymorph in this dataset = 27.9 meV per atom
Formation energy (no corrections) = -1379 meV per atom

Lattice parameters (Å, degrees): 5.703 5.703 9.392 72.33 72.33 90.00
Sites, in units of the cell vectors:
Cl: 0.000 0.500 0.000
Cl: 0.500 0.000 0.000
Cl: 0.840 0.840 0.319
Cl: 0.160 0.160 0.681
Cs: 0.636 0.636 0.728
Cs: 0.364 0.364 0.272
Sb: 0.000 0.000 0.000

***

Entry 5:
The following is a DFT calculation (PBE) of an optimized crystal structure of Cs2Sb2Cl.

Properties
Formation energy (no corrections) = -909 meV per atom

Lattice parameters (Å, degrees): 4.337 4.337 11.183 78.82 78.82 90.00
Sites, in units of the cell vectors:
Cl: 0.000 0.000 0.000
Cs: 0.594 0.594 0.813
Cs: 0.406 0.406 0.187
Sb: 0.750 0.250 0.500
Sb: 0.250 0.750 0.500

***

Entry 6:
The following is a DFT calculation (PBE) of an optimized crystal structure of CsSb2Cl6.

Properties
Energy above the most stable polymorph in this dataset = 54.7 meV per atom
Formation energy (no corrections) = -968 meV per atom

Lattice parameters (Å, degrees): 7.307 7.497 7.497 120.00 90.00 90.00
Site moments in Bohr magnetons follow the coordinates.
Sites, in units of the cell vectors:
Cl: 0.307 0.000 0.631  0.01
Cl: 0.307 0.631 0.000  0.01
Cl: 0.307 0.369 0.369  0.01
Cl: 0.693 0.631 0.631  0.01
Cl: 0.693 0.369 0.000  0.01
Cl: 0.693 0.000 0.369  0.01
Cs: 0.000 0.000 0.000  0.00
Sb: 0.500 0.333 0.667  0.12
Sb: 0.500 0.667 0.333  0.12

***

Entry 7:
The following is a DFT calculation (PBE) of an optimized crystal structure of Cs2SbSeCl6.

Properties
Formation energy (no corrections) = -1093 meV per atom

Lattice parameters (Å, degrees): 7.438 7.438 8.197 63.02 63.02 90.00
Sites, in units of the cell vectors:
Cl: 0.252 0.252 0.000
Cl: 0.791 0.791 0.418
Cl: 0.252 0.748 0.000
Cl: 0.748 0.748 0.000
Cl: 0.209 0.209 0.582
Cl: 0.748 0.252 0.000
Sb: 0.000 0.000 0.000
Se: 0.500 0.500 0.000
Cs: 0.250 0.750 0.500
Cs: 0.750 0.250 0.500

***

Entry 8:
The following is a DFT calculation (PBE) of an optimized crystal structure of Cs2SrSbCl6.

Properties
Formation energy (no corrections) = -1669 meV per atom

Lattice parameters (Å, degrees): 7.831 7.831 8.395 62.20 62.20 90.00
Site moments in Bohr magnetons follow the coordinates.
Sites, in units of the cell vectors:
Cl: 0.240 0.240 0.000  0.01
Cl: 0.240 0.760 0.000  0.01
Cl: 0.276 0.276 0.449  0.04
Cl: 0.724 0.724 0.551  0.04
Cl: 0.760 0.240 0.000  0.01
Cl: 0.760 0.760 0.000  0.01
Cs: 0.750 0.250 0.500  0.00
Cs: 0.250 0.750 0.500  0.00
Sb: 0.000 0.000 0.000  0.36
Sr: 0.500 0.500 0.000  0.01

***

Entry 9:
The following is a DFT calculation (PBE) of an optimized crystal structure of CsSrSbCl6.

Properties
Formation energy (no corrections) = -1684 meV per atom

Lattice parameters (Å, degrees): 7.394 7.394 7.592 90.00 90.00 60.00
Sites, in units of the cell vectors:
Cl: 0.614 0.363 0.705
Cl: 0.023 0.614 0.705
Cl: 0.023 0.363 0.295
Cl: 0.363 0.614 0.295
Cl: 0.363 0.023 0.705
Cl: 0.614 0.023 0.295
Cs: 0.000 0.000 0.000
Sb: 0.333 0.333 0.500
Sr: 0.667 0.667 0.500

***

Entry 10:
The following is a DFT calculation (PBE) of an optimized crystal structure of Cs2TiSbCl6.

Properties
Formation energy (no corrections) = -1397 meV per atom

Lattice parameters (Å, degrees): 7.329 7.329 8.132 63.22 63.22 90.00
Site moments in Bohr magnetons follow the coordinates.
Sites, in units of the cell vectors:
Cl: 0.307 0.307 0.385  -0.01
Cl: 0.693 0.693 0.615  -0.01
Cl: 0.739 0.261 0.000  -0.01
Cl: 0.261 0.739 0.000  -0.01
Cl: 0.739 0.739 0.000  -0.01
Cl: 0.261 0.261 0.000  -0.01
Cs: 0.250 0.750 0.500  0.00
Cs: 0.750 0.250 0.500  0.00
Sb: 0.000 0.000 0.000  -0.06
Ti: 0.500 0.500 0.000  1.01

***

Entry 11:
The following is a DFT calculation (PBE) of an optimized crystal structure of CsTlSb2Cl.

Properties
Formation energy (no corrections) = 18 meV per atom

Lattice parameters (Å, degrees): 5.609 9.177 5.609 90.00 90.00 90.00
Site moments in Bohr magnetons follow the coordinates.
Sites, in units of the cell vectors:
Cl: 0.500 0.500 0.500  0.01
Cs: 0.000 0.500 0.000  0.00
Tl: 0.000 0.000 0.000  -0.02
Sb: 0.000 0.000 0.500  0.14
Sb: 0.500 0.000 0.000  0.26

***

Entry 12:
The following is a DFT calculation (PBE) of an optimized crystal structure of CsTl2SbCl8.

Properties
Formation energy (no corrections) = -1017 meV per atom

Lattice parameters (Å, degrees): 6.367 7.735 9.641 85.35 82.01 96.67
Sites, in units of the cell vectors:
Tl: 0.476 0.455 0.730
Tl: 0.524 0.545 0.270
Cl: 0.534 0.259 0.489
Cl: 0.784 0.119 0.184
Cl: 0.310 0.173 0.056
Cl: 0.049 0.761 0.172
Cl: 0.216 0.881 0.816
Cl: 0.951 0.239 0.828
Cl: 0.690 0.827 0.944
Cl: 0.466 0.741 0.511
Sb: 0.000 0.000 0.000
Cs: 0.000 0.000 0.500

***

Entry 13:
The following is a DFT calculation (PBE) of an optimized crystal structure of CsVSbCl6.

Properties
Formation energy (no corrections) = -1233 meV per atom

Lattice parameters (Å, degrees): 6.811 6.811 7.776 90.00 90.00 60.00
Site moments in Bohr magnetons follow the coordinates.
Sites, in units of the cell vectors:
Cl: 0.384 0.637 0.313  -0.01
Cl: 0.384 0.978 0.687  -0.01
Cl: 0.637 0.978 0.313  -0.01
Cl: 0.978 0.384 0.313  -0.01
Cl: 0.637 0.384 0.687  -0.01
Cl: 0.978 0.637 0.687  -0.01
Sb: 0.333 0.333 0.500  0.04
Cs: 0.000 0.000 0.000  0.00
V: 0.667 0.667 0.500  2.57

***

Entry 14:
The following is a DFT calculation (PBE) of an optimized crystal structure of Cs2YSbCl6.

Properties
Formation energy (no corrections) = -1660 meV per atom

Lattice parameters (Å, degrees): 7.604 7.604 8.570 63.66 63.66 90.00
Sites, in units of the cell vectors:
Y: 0.500 0.500 0.000
Cl: 0.746 0.254 0.000
Cl: 0.746 0.746 0.000
Cl: 0.303 0.303 0.394
Cl: 0.697 0.697 0.606
Cl: 0.254 0.254 0.000
Cl: 0.254 0.746 0.000
Cs: 0.750 0.250 0.500
Cs: 0.250 0.750 0.500
Sb: 0.000 0.000 0.000

***

Entry 15:
The following is a DFT calculation (PBE) of an optimized crystal structure of CsZnSbCl6.

Properties
Formation energy (no corrections) = -1210 meV per atom

Lattice parameters (Å, degrees): 6.803 6.803 7.782 90.00 90.00 59.99
Sites, in units of the cell vectors:
Cl: 0.020 0.367 0.311
Cl: 0.367 0.020 0.689
Cl: 0.613 0.367 0.690
Cl: 0.020 0.613 0.689
Cl: 0.367 0.613 0.310
Cl: 0.613 0.020 0.311
Sb: 0.667 0.667 0.500
Cs: 0.000 0.000 0.000
Zn: 0.333 0.333 0.500

***

Entry 16:
The following is a DFT calculation (PBE) of an optimized crystal structure of Cs2ZnSbCl6.

Properties
Formation energy (no corrections) = -1290 meV per atom

Lattice parameters (Å, degrees): 7.695 7.695 7.595 59.56 59.56 90.00
Sites, in units of the cell vectors:
Zn: 0.500 0.500 0.000
Cl: 0.754 0.246 0.000
Cl: 0.246 0.754 0.000
Cl: 0.721 0.721 0.558
Cl: 0.754 0.754 0.000
Cl: 0.279 0.279 0.442
Cl: 0.246 0.246 0.000
Sb: 0.000 0.000 0.000
Cs: 0.750 0.250 0.500
Cs: 0.250 0.750 0.500

***

Entry 17:
The following is a DFT calculation (PBE) of an optimized crystal structure of CsZrSb2Cl.

Properties
Formation energy (no corrections) = -279 meV per atom

Lattice parameters (Å, degrees): 5.430 13.339 5.430 90.00 90.00 90.00
Sites, in units of the cell vectors:
Zr: 0.000 0.000 0.000
Sb: 0.000 0.000 0.500
Sb: 0.500 0.000 0.000
Cl: 0.500 0.500 0.500
Cs: 0.000 0.500 0.000

***

Entry 18:
The following is a DFT calculation (PBE) of an optimized crystal structure of Cs3ScCl6.

Properties
Formation energy (no corrections) = -2102 meV per atom

Lattice parameters (Å, degrees): 9.233 9.233 9.233 88.50 88.50 88.50
Sites, in units of the cell vectors:
Cl: 0.064 0.925 0.745
Cl: 0.925 0.745 0.064
Cl: 0.075 0.255 0.936
Cl: 0.564 0.245 0.425
Cl: 0.575 0.436 0.755
Cl: 0.255 0.936 0.075
Cl: 0.745 0.064 0.925
Cl: 0.245 0.425 0.564
Cl: 0.425 0.564 0.245
Cl: 0.755 0.575 0.436
Cl: 0.436 0.755 0.575
Cl: 0.936 0.075 0.255
Sc: 0.500 0.500 0.500
Sc: 0.000 0.000 0.000
Cs: 0.900 0.250 0.600
Cs: 0.400 0.100 0.750
Cs: 0.600 0.900 0.250
Cs: 0.250 0.600 0.900
Cs: 0.100 0.750 0.400
Cs: 0.750 0.400 0.100

***

Entry 19:
The following is a DFT calculation (PBE) of an optimized crystal structure of Cs2ScCl6.

Properties
Formation energy (no corrections) = -1800 meV per atom

Lattice parameters (Å, degrees): 7.519 7.519 12.279 90.00 90.00 120.00
Site moments in Bohr magnetons follow the coordinates.
Sites, in units of the cell vectors:
Cs: 0.000 0.000 0.115  0.00
Cs: 0.000 0.000 0.615  0.00
Cs: 0.333 0.667 0.875  0.00
Cs: 0.667 0.333 0.375  0.00
Cl: 0.489 0.511 0.135  0.15
Cl: 0.977 0.489 0.635  0.15
Cl: 0.174 0.348 0.367  0.15
Cl: 0.826 0.652 0.867  0.15
Cl: 0.174 0.826 0.367  0.15
Cl: 0.826 0.174 0.867  0.15
Cl: 0.348 0.174 0.867  0.15
Cl: 0.511 0.023 0.635  0.15
Cl: 0.023 0.511 0.135  0.15
Cl: 0.652 0.826 0.367  0.15
Cl: 0.489 0.977 0.135  0.15
Cl: 0.511 0.489 0.635  0.15
Sc: 0.333 0.667 0.254  -0.02
Sc: 0.667 0.333 0.754  -0.02

***

Entry 20:
The following is a DFT calculation (PBE) of an optimized crystal structure of Cs3ScCl6.

Properties
Formation energy (no corrections) = -2106 meV per atom

Lattice parameters (Å, degrees): 13.991 13.991 13.203 80.22 80.22 34.09
Sites, in units of the cell vectors:
Sc: 0.000 0.500 0.500
Sc: 0.500 0.000 0.000
Sc: 0.218 0.782 0.750
Sc: 0.782 0.218 0.250
Cl: 0.621 0.488 0.313
Cl: 0.274 0.837 0.576
Cl: 0.605 0.747 0.075
Cl: 0.163 0.726 0.924
Cl: 0.127 0.373 0.674
Cl: 0.747 0.605 0.575
Cl: 0.512 0.379 0.187
Cl: 0.146 0.228 0.464
Cl: 0.488 0.621 0.813
Cl: 0.854 0.772 0.536
Cl: 0.726 0.163 0.424
Cl: 0.951 0.940 0.194
Cl: 0.379 0.512 0.687
Cl: 0.940 0.951 0.694
Cl: 0.837 0.274 0.076
Cl: 0.395 0.253 0.925
Cl: 0.772 0.854 0.036
Cl: 0.627 0.873 0.826
Cl: 0.373 0.127 0.174
Cl: 0.049 0.060 0.806
Cl: 0.228 0.146 0.964
Cl: 0.873 0.627 0.326
Cl: 0.060 0.049 0.306
Cl: 0.253 0.395 0.425
Cs: 0.711 0.187 0.938
Cs: 0.644 0.028 0.304
Cs: 0.813 0.289 0.562
Cs: 0.028 0.644 0.804
Cs: 0.469 0.836 0.354
Cs: 0.187 0.711 0.438
Cs: 0.356 0.972 0.696
Cs: 0.289 0.813 0.062
Cs: 0.531 0.164 0.646
Cs: 0.836 0.469 0.854
Cs: 0.164 0.531 0.146
Cs: 0.972 0.356 0.196

***

Respective calculated density values: 3.12 3.04 3.03 3.19 4.47 2.75 3.24 2.95 2.56 3.20 3.54 3.38 2.76 2.97 2.84 3.52 2.12 2.77 2.89 3.06 g cm⁻³.